Cd5Hg2Pd2Au (PBE-GGA, optimized geometry); space group = P4/mbm, No. 127; total energy = -2.051 eV/atom; total magnetic moment = 0.0 μB per formula unit; calculated density = 10.49 Mg/m³
1.0
11.810 0.000 0.000
0.000 11.810 0.000
0.000 0.000 3.117
Cd Hg Pd Au
10 4 4 2
Cartesian
0.000 5.905 0.000 Cd
0.340 2.410 0.000 Cd
2.410 11.470 0.000 Cd
3.495 5.565 0.000 Cd
5.565 8.315 0.000 Cd
5.905 0.000 0.000 Cd
6.245 3.495 0.000 Cd
8.315 6.245 0.000 Cd
9.400 0.340 0.000 Cd
11.470 9.400 0.000 Cd
2.267 8.172 1.558 Hg
3.638 2.267 1.558 Hg
8.172 9.544 1.558 Hg
9.544 3.638 1.558 Hg
1.614 4.291 1.558 Pd
4.291 10.196 1.558 Pd
7.519 1.614 1.558 Pd
10.196 7.519 1.558 Pd
0.000 0.000 1.558 Au
5.905 5.905 1.558 Au

ThMg4Ga2 (PBE-GGA, optimized geometry); space group = Cmmm, No. 65; total energy = -3.092 eV/atom; total magnetic moment = 0.0 μB per formula unit; calculated density = 5.02 Mg/m³
1.0
2.173 -8.198 0.000
2.173 8.198 0.000
0.000 0.000 4.354
Th Mg Ga
1 4 2
Cartesian
0.000 0.000 0.000 Th
2.173 5.291 2.177 Mg
2.173 2.923 0.000 Mg
2.173 -2.923 0.000 Mg
2.173 -5.291 2.177 Mg
2.173 1.230 2.177 Ga
2.173 -1.230 2.177 Ga

TaSb2TeO (PBE-GGA, optimized geometry); space group = P4/mmm, No. 123; offset from the most stable computed form = 401 meV per atom; total energy = -4.910 eV/atom; total magnetic moment = 0.0 μB per formula unit; calculated density = 6.41 Mg/m³
1.0
5.306 0.000 0.000
0.000 5.306 0.000
0.000 0.000 5.224
Ta Sb Te O
1 2 1 1
Cartesian
0.000 0.000 0.000 Ta
0.000 2.653 0.000 Sb
2.653 0.000 0.000 Sb
0.000 0.000 2.612 Te
2.653 2.653 2.612 O

ScGeAs2Se (PBE-GGA, optimized geometry); space group = P4/mmm, No. 123; offset from the most stable computed form = 44 meV per atom; total energy = -4.517 eV/atom; total magnetic moment = 0.0 μB per formula unit; calculated density = 4.84 Mg/m³
1.0
4.878 0.000 0.000
0.000 4.878 0.000
0.000 0.000 4.995
Sc Ge As Se
1 1 2 1
Cartesian
0.000 0.000 0.000 Sc
2.439 2.439 2.497 Ge
0.000 2.439 2.497 As
2.439 0.000 2.497 As
2.439 2.439 0.000 Se

EuLuO2 (PBE-GGA, optimized geometry); space group = R-3m, No. 166; total energy = -9.064 eV/atom; total magnetic moment = 7.5 μB per formula unit; calculated density = 10.08 Mg/m³
1.0
1.694 0.978 5.944
-1.694 0.978 5.944
0.000 -1.957 5.944
Eu Lu O
1 1 2
Cartesian
0.000 0.000 0.000 Eu
0.000 0.000 8.916 Lu
0.000 0.000 4.123 O
0.000 0.000 13.709 O

ReTcIr (PBE-GGA, optimized geometry); space group = I4mm, No. 107; offset from the most stable computed form = 146 meV per atom; total energy = -10.622 eV/atom; total magnetic moment = 0.0 μB per formula unit; calculated density = 17.96 Mg/m³
1.0
-1.380 1.380 5.781
1.380 -1.380 5.781
1.380 1.380 -5.781
Re Tc Ir
1 1 1
Cartesian
0.000 0.000 0.000 Re
0.000 0.000 3.898 Tc
0.000 0.000 7.719 Ir

CsAg3O3 (PBE-GGA, optimized geometry); space group = R-3, No. 148; total energy = -3.694 eV/atom; total magnetic moment = 0.8 μB per formula unit; calculated density = 6.12 Mg/m³
1.0
3.127 1.805 8.086
-3.127 1.805 8.086
0.000 -3.611 8.086
Cs Ag O
2 6 6
Cartesian
0.000 0.000 4.058 Cs
0.000 0.000 20.202 Cs
-1.652 0.017 9.367 Ag
-0.841 -1.422 14.892 Ag
0.811 -1.439 9.367 Ag
-0.811 1.439 14.892 Ag
0.841 1.422 9.367 Ag
1.652 -0.017 14.892 Ag
-1.211 -2.064 9.689 O
-2.393 0.017 14.570 O
-1.181 2.081 9.689 O
1.181 -2.081 14.570 O
2.393 -0.017 9.689 O
1.211 2.064 14.570 O

Ba2MgIn4Ag3 (PBE-GGA, optimized geometry); space group = P-4m2, No. 115; total energy = -2.783 eV/atom; total magnetic moment = 0.0 μB per formula unit; calculated density = 6.39 Mg/m³
1.0
4.833 0.000 0.000
0.000 4.833 0.000
0.000 0.000 12.040
Ba Mg In Ag
2 1 4 3
Cartesian
0.000 2.416 2.982 Ba
2.416 0.000 9.058 Ba
0.000 0.000 6.020 Mg
0.000 0.000 0.000 In
0.000 2.416 7.634 In
2.416 0.000 4.406 In
2.416 2.416 0.000 In
0.000 2.416 10.455 Ag
2.416 0.000 1.585 Ag
2.416 2.416 6.020 Ag

NpZn4In (PBE-GGA, optimized geometry); space group = F-43m, No. 216; total energy = -3.341 eV/atom; total magnetic moment = 4.3 μB per formula unit; calculated density = 8.86 Mg/m³
1.0
0.000 3.859 3.859
3.859 0.000 3.859
3.859 3.859 0.000
Np Zn In
1 4 1
Cartesian
0.000 0.000 0.000 Np
2.888 2.888 2.888 Zn
4.830 4.830 2.888 Zn
4.830 2.888 4.830 Zn
2.888 4.830 4.830 Zn
5.788 5.788 5.788 In

ScAgPd (PBE-GGA, optimized geometry); space group = P3m1, No. 156; offset from the most stable computed form = 153 meV per atom; total energy = -5.235 eV/atom; total magnetic moment = 0.0 μB per formula unit; calculated density = 7.99 Mg/m³
1.0
4.568 0.000 0.000
-2.284 3.956 0.000
0.000 0.000 2.982
Sc Ag Pd
1 1 1
Cartesian
0.000 0.000 0.000 Sc
0.000 2.637 1.144 Ag
2.284 1.319 2.154 Pd

TbNd2Y5Tm (PBE-GGA, optimized geometry); space group = I4/mcm, No. 140; total energy = -5.401 eV/atom; total magnetic moment = 0.0 μB per formula unit; calculated density = 5.96 Mg/m³
1.0
-4.335 4.335 7.859
4.335 -4.335 7.859
4.335 4.335 -7.859
Tb Nd Y Tm
2 4 10 2
Cartesian
0.000 0.000 3.929 Tb
0.000 0.000 11.788 Tb
5.353 1.019 0.000 Nd
1.019 3.316 0.000 Nd
3.316 1.019 7.859 Nd
-1.019 3.316 7.859 Nd
0.000 0.000 0.000 Y
2.502 1.832 -2.195 Y
2.502 -1.832 5.663 Y
2.502 1.832 2.195 Y
2.502 -1.832 10.054 Y
0.000 0.000 7.859 Y
1.832 6.167 -2.195 Y
1.832 2.502 5.663 Y
1.832 6.167 2.195 Y
1.832 2.502 10.054 Y
4.335 0.000 3.929 Tm
0.000 4.335 3.929 Tm

Li2TaCo (PBE-GGA, optimized geometry); space group = I4/mmm, No. 139; offset from the most stable computed form = 73 meV per atom; total energy = -5.458 eV/atom; total magnetic moment = 0.0 μB per formula unit; calculated density = 7.44 Mg/m³
1.0
-1.729 1.729 4.737
1.729 -1.729 4.737
1.729 1.729 -4.737
Li Ta Co
2 1 1
Cartesian
1.729 0.000 2.368 Li
0.000 1.729 2.368 Li
0.000 0.000 0.000 Ta
0.000 0.000 4.737 Co